PmCdAg2 after structural relaxation. Source: the Alexandria database, functional GGA-PBEsol.

Cell: 4.916 4.916 4.916 Å, 60.00 60.00 60.00°
Fractional coordinates of all 4 atoms:
Pm1 0.000 0.000 0.000
Cd1 0.500 0.500 0.500
Ag1 0.250 0.250 0.250
Ag2 0.750 0.750 0.750

Symmetry   Fm-3m
Energy relative to the elements   -0.2806 eV/atom

---

YAl2Ir after structural relaxation. Source: the Alexandria database, functional GGA-PBEsol.

Cell: 5.744 5.744 5.744 Å, 149.86 128.83 60.54°
Fractional coordinates of all 4 atoms:
Y1 0.000 0.000 0.000
Al1 0.288 0.788 0.500
Al2 0.712 0.212 0.500
Ir1 0.500 0.500 0.000

Symmetry   Immm
Energy relative to the elements   -0.4501 eV/atom

---

Y2OsAu after structural relaxation. Source: the Alexandria database, functional GGA-PBEsol.

Cell: 4.859 4.859 3.461 Å, 90.00 90.00 90.00°
Fractional coordinates of all 4 atoms:
Y1 0.000 0.500 0.000
Y2 0.500 0.000 0.000
Os1 0.000 0.000 0.500
Au1 0.500 0.500 0.500

Symmetry   P4/mmm
Energy relative to the elements   -0.4592 eV/atom

---

Fe2PbCl after structural relaxation. Source: the Alexandria database, functional GGA-PBEsol.

Cell: 3.273 4.582 5.400 Å, 90.00 95.80 90.00°
Fractional coordinates of all 4 atoms:
Fe1 0.193 0.000 0.342
Fe2 0.807 0.000 0.658
Pb1 0.500 0.500 0.500
Cl1 0.000 0.500 0.000

Symmetry   P2/m
Formation energy from raw total energies   0.541 eV/atom

---

B3Pd16 after structural relaxation. Source: the Alexandria database, functional GGA-PBEsol.

Cell: 8.973 8.973 8.946 Å, 113.82 113.82 53.13°
Fractional coordinates of all 38 atoms:
B1 0.125 0.875 0.750
B2 0.198 0.434 0.001
B3 0.434 0.198 0.501
B4 0.566 0.802 0.499
B5 0.802 0.566 0.999
B6 0.875 0.125 0.250
Pd1 0.002 0.254 0.250
Pd2 0.061 0.812 0.492
Pd3 0.064 0.306 0.999
Pd4 0.125 0.373 0.744
Pd5 0.132 0.868 0.250
Pd6 0.178 0.448 0.500
Pd7 0.188 0.939 0.008
Pd8 0.252 0.500 0.257
Pd9 0.254 0.002 0.750
Pd10 0.306 0.064 0.499
Pd11 0.317 0.567 0.000
Pd12 0.373 0.125 0.244
Pd13 0.381 0.619 0.750
Pd14 0.433 0.683 0.500
Pd15 0.448 0.178 0.000
Pd16 0.500 0.252 0.757
Pd17 0.500 0.748 0.243
Pd18 0.552 0.822 0.000
Pd19 0.567 0.317 0.500
Pd20 0.619 0.381 0.250
Pd21 0.627 0.875 0.756
Pd22 0.683 0.433 0.000
Pd23 0.694 0.936 0.501
Pd24 0.746 0.998 0.250
Pd25 0.748 0.500 0.743
Pd26 0.812 0.061 0.992
Pd27 0.822 0.552 0.500
Pd28 0.868 0.132 0.750
Pd29 0.875 0.627 0.256
Pd30 0.936 0.694 0.001
Pd31 0.939 0.188 0.508
Pd32 0.998 0.746 0.750

Symmetry   C2/c
Energy relative to the elements   -0.2191 eV/atom

---

BaAlBO3F2 after structural relaxation. Source: the Alexandria database, functional GGA-PBEsol.

Cell: 4.879 4.879 9.347 Å, 90.00 90.00 120.00°
Fractional coordinates of all 16 atoms:
Ba1 0.000 0.000 0.000
Ba2 0.000 0.000 0.500
Al1 0.333 0.667 0.250
Al2 0.667 0.333 0.750
B1 0.333 0.667 0.750
B2 0.667 0.333 0.250
O1 0.056 0.677 0.750
O2 0.323 0.379 0.750
O3 0.379 0.056 0.250
O4 0.621 0.944 0.750
O5 0.677 0.621 0.250
O6 0.944 0.323 0.250
F1 0.333 0.667 0.053
F2 0.333 0.667 0.447
F3 0.667 0.333 0.553
F4 0.667 0.333 0.947

Symmetry   P6_3/m
Formation energy from raw total energies   -3.196 eV/atom

---

FeSiTc2 after structural relaxation. Source: the Alexandria database, functional GGA-PBEsol.

Cell: 4.836 4.836 4.836 Å, 144.81 129.82 62.77°
Fractional coordinates of all 4 atoms:
Fe1 0.000 0.000 0.000
Si1 0.223 0.723 0.500
Tc1 0.471 0.471 0.000
Tc2 0.738 0.238 0.500

Symmetry   Imm2
Formation energy from raw total energies   -0.312 eV/atom

---

Bi5IO7 after structural relaxation. Source: the Alexandria database, functional GGA-PBEsol.

Cell: 14.298 14.298 14.298 Å, 158.64 110.92 73.24°
Fractional coordinates of all 52 atoms:
Bi1 0.022 0.469 0.610
Bi2 0.051 0.301 0.750
Bi3 0.115 0.213 0.950
Bi4 0.141 0.031 0.053
Bi5 0.237 0.835 0.450
Bi6 0.263 0.713 0.598
Bi7 0.359 0.412 0.890
Bi8 0.385 0.335 0.098
Bi9 0.449 0.199 0.250
Bi10 0.478 0.088 0.447
Bi11 0.522 0.912 0.553
Bi12 0.551 0.801 0.750
Bi13 0.615 0.665 0.902
Bi14 0.641 0.588 0.110
Bi15 0.737 0.287 0.402
Bi16 0.763 0.165 0.550
Bi17 0.859 0.969 0.947
Bi18 0.885 0.787 0.050
Bi19 0.949 0.699 0.250
Bi20 0.978 0.531 0.390
I1 0.160 0.910 0.250
I2 0.340 0.590 0.750
I3 0.660 0.410 0.250
I4 0.840 0.090 0.750
O1 0.005 0.131 0.035
O2 0.080 0.487 0.071
O3 0.084 0.991 0.571
O4 0.088 0.593 0.379
O5 0.096 0.631 0.626
O6 0.215 0.093 0.006
O7 0.250 0.498 0.248
O8 0.250 0.998 0.748
O9 0.285 0.291 0.879
O10 0.404 0.030 0.535
O11 0.412 0.791 0.506
O12 0.416 0.987 0.908
O13 0.420 0.491 0.408
O14 0.495 0.530 0.126
O15 0.505 0.470 0.874
O16 0.580 0.509 0.592
O17 0.584 0.013 0.092
O18 0.588 0.209 0.494
O19 0.596 0.970 0.465
O20 0.715 0.709 0.121
O21 0.750 0.002 0.252
O22 0.750 0.502 0.752
O23 0.785 0.907 0.994
O24 0.904 0.369 0.374
O25 0.912 0.407 0.621
O26 0.916 0.009 0.429
O27 0.920 0.513 0.929
O28 0.995 0.869 0.965

Symmetry   Ibca
Formation energy from raw total energies   -1.189 eV/atom

---

Density for the records above, in order: 9.35; 7.57; 11.48; 7.30; 11.21; 4.50; 9.39; 8.65 g/cm³
Energy for the records above, in order: -3.520; -6.657; -7.905; -5.442; -6.345; -7.304; -9.623; -5.800 eV/atom